<i>
# PBE-GGA ZrCoRe2, relaxed
# * total moment: 0.00 Bohr magnetons per cell
data_ZrCoRe2
_chemical_formula_sum 'Zr4 Co4 Re8'
_cell_length_a 3.633
_cell_length_b 3.633
_cell_length_c 20.159
_cell_angle_alpha 90.00
_cell_angle_beta 90.00
_cell_angle_gamma 90.00
_symmetry_space_group_name_H-M 'I -4 2 d'
_symmetry_Int_Tables_number 122
_symmetry_space_group_name_Hall 'I -4 2bw'
loop_
_atom_site_label
_atom_site_type_symbol
_atom_site_fract_x
_atom_site_fract_y
_atom_site_fract_z
Zr1 Zr 0.000 0.000 0.000
Co1 Co 0.000 0.000 0.500
Re1 Re 0.238 0.250 0.625

***

<ii>
# PBE-GGA ZrCoRe2, relaxed
# * total moment: 1.21 Bohr magnetons per cell
data_ZrCoRe2
_chemical_formula_sum 'Zr2 Co2 Re4'
_cell_length_a 3.492
_cell_length_b 4.174
_cell_length_c 8.399
_cell_angle_alpha 90.00
_cell_angle_beta 90.00
_cell_angle_gamma 90.00
_symmetry_space_group_name_H-M 'C m m m'
_symmetry_Int_Tables_number 65
_symmetry_space_group_name_Hall '-C 2 2'
loop_
_atom_site_label
_atom_site_type_symbol
_atom_site_fract_x
_atom_site_fract_y
_atom_site_fract_z
Zr1 Zr 0.000 0.000 0.000
Co1 Co 0.000 0.000 0.500
Re1 Re 0.000 0.500 0.286

***

Quick one: least stable of them? <i>

***

<i>
# PBE-GGA ZrCo2Re, relaxed
# * total moment: 6.28 Bohr magnetons per cell
data_ZrCo2Re
_chemical_formula_sum 'Zr3 Co6 Re3'
_cell_length_a 2.7692
_cell_length_b 2.7692
_cell_length_c 26.5052
_cell_angle_alpha 90.00
_cell_angle_beta 90.00
_cell_angle_gamma 120.00
_symmetry_space_group_name_H-M 'R -3 m'
_symmetry_Int_Tables_number 166
_symmetry_space_group_name_Hall '-R 3 2"'
loop_
_atom_site_label
_atom_site_type_symbol
_atom_site_fract_x
_atom_site_fract_y
_atom_site_fract_z
Zr1 Zr 0.0000 0.0000 0.0000
Co1 Co 0.0000 0.0000 0.2427
Re1 Re 0.0000 0.0000 0.5000

***

<ii>
# PBE-GGA ZrCo2Re, relaxed
# * total moment: 16.84 Bohr magnetons per cell
data_ZrCo2Re
_chemical_formula_sum 'Zr4 Co8 Re4'
_cell_length_a 6.165
_cell_length_b 6.165
_cell_length_c 6.165
_cell_angle_alpha 90.00
_cell_angle_beta 90.00
_cell_angle_gamma 90.00
_symmetry_space_group_name_H-M 'F m -3 m'
_symmetry_Int_Tables_number 225
_symmetry_space_group_name_Hall '-F 4 2 3'
loop_
_atom_site_label
_atom_site_type_symbol
_atom_site_fract_x
_atom_site_fract_y
_atom_site_fract_z
Zr1 Zr 0.000 0.000 0.000
Co1 Co 0.250 0.250 0.250
Re1 Re 0.000 0.000 0.500

***

Quick one: least stable of them? <i>

***

<i>
# PBE-GGA Zr3CoRe, relaxed
# * total moment: 0.00 Bohr magnetons per cell
data_Zr3CoRe
_chemical_formula_sum 'Zr3 Co1 Re1'
_cell_length_a 4.708
_cell_length_b 4.708
_cell_length_c 4.708
_cell_angle_alpha 90.00
_cell_angle_beta 90.00
_cell_angle_gamma 90.00
_symmetry_space_group_name_H-M 'P m -3 m'
_symmetry_Int_Tables_number 221
_symmetry_space_group_name_Hall '-P 4 2 3'
loop_
_atom_site_label
_atom_site_type_symbol
_atom_site_fract_x
_atom_site_fract_y
_atom_site_fract_z
Zr1 Zr 0.000 0.000 0.500
Co1 Co 0.000 0.000 0.000
Re1 Re 0.500 0.500 0.500

***

<ii>
# PBE-GGA Zr3CoRe, relaxed
# * total moment: 0.00 Bohr magnetons per cell
data_Zr3CoRe
_chemical_formula_sum 'Zr3 Co1 Re1'
_cell_length_a 5.020
_cell_length_b 5.020
_cell_length_c 5.020
_cell_angle_alpha 90.00
_cell_angle_beta 90.00
_cell_angle_gamma 90.00
_symmetry_space_group_name_H-M 'P m -3 m'
_symmetry_Int_Tables_number 221
_symmetry_space_group_name_Hall '-P 4 2 3'
loop_
_atom_site_label
_atom_site_type_symbol
_atom_site_fract_x
_atom_site_fract_y
_atom_site_fract_z
Zr1 Zr 0.000 0.000 0.500
Co1 Co 0.500 0.500 0.500
Re1 Re 0.000 0.000 0.000

***

Quick one: least stable of them? <ii>

***

<i>
# PBE-GGA Co7Rh, relaxed
# * total moment: 52.57 Bohr magnetons per cell
data_Co7Rh
_chemical_formula_sum 'Co28 Rh4'
_cell_length_a 7.174
_cell_length_b 7.174
_cell_length_c 7.174
_cell_angle_alpha 90.00
_cell_angle_beta 90.00
_cell_angle_gamma 90.00
_symmetry_space_group_name_H-M 'F m -3 m'
_symmetry_Int_Tables_number 225
_symmetry_space_group_name_Hall '-F 4 2 3'
loop_
_atom_site_label
_atom_site_type_symbol
_atom_site_fract_x
_atom_site_fract_y
_atom_site_fract_z
Co1 Co 0.000 0.000 0.000
Co2 Co 0.000 0.250 0.250
Rh1 Rh 0.000 0.000 0.500

***

<ii>
# PBE-GGA Co7Rh, relaxed
# * total moment: 12.41 Bohr magnetons per cell
data_Co7Rh
_chemical_formula_sum 'Co7 Rh1'
_cell_length_a 5.0903
_cell_length_b 5.0903
_cell_length_c 4.0784
_cell_angle_alpha 90.00
_cell_angle_beta 90.00
_cell_angle_gamma 120.00
_symmetry_space_group_name_H-M 'P -6 m 2'
_symmetry_Int_Tables_number 187
_symmetry_space_group_name_Hall 'P -6 2'
loop_
_atom_site_label
_atom_site_type_symbol
_atom_site_fract_x
_atom_site_fract_y
_atom_site_fract_z
Co1 Co 0.0000 0.0000 0.0000
Co2 Co 0.0103 0.5051 0.0000
Co3 Co 0.1669 0.3337 0.5000
Rh1 Rh 0.6667 0.3333 0.5000

***

Quick one: least stable of them? <i>

***

<i>
# PBE-GGA Co3Rh2, relaxed
# * total moment: 4.44 Bohr magnetons per cell
data_Co3Rh2
_chemical_formula_sum 'Co9 Rh6'
_cell_length_a 2.6279
_cell_length_b 2.6279
_cell_length_c 31.2588
_cell_angle_alpha 90.00
_cell_angle_beta 90.00
_cell_angle_gamma 120.00
_symmetry_space_group_name_H-M 'R -3 m'
_symmetry_Int_Tables_number 166
_symmetry_space_group_name_Hall '-R 3 2"'
loop_
_atom_site_label
_atom_site_type_symbol
_atom_site_fract_x
_atom_site_fract_y
_atom_site_fract_z
Co1 Co 0.0000 0.0000 0.0000
Co2 Co 0.0000 0.0000 0.1973
Rh1 Rh 0.0000 0.0000 0.4006

***

<ii>
# PBE-GGA Co3Rh2, relaxed
# * total moment: 13.93 Bohr magnetons per cell
data_Co3Rh2
_chemical_formula_sum 'Co6 Rh4'
_cell_length_a 2.640
_cell_length_b 3.607
_cell_length_c 13.170
_cell_angle_alpha 90.00
_cell_angle_beta 90.00
_cell_angle_gamma 90.00
_symmetry_space_group_name_H-M 'I m m m'
_symmetry_Int_Tables_number 71
_symmetry_space_group_name_Hall '-I 2 2'
loop_
_atom_site_label
_atom_site_type_symbol
_atom_site_fract_x
_atom_site_fract_y
_atom_site_fract_z
Co1 Co 0.000 0.000 0.000
Co2 Co 0.000 0.000 0.203
Rh1 Rh 0.000 0.000 0.397

***

<iii>
# PBE-GGA Co3Rh2, relaxed
# * total moment: 16.38 Bohr magnetons per cell
data_Co3Rh2
_chemical_formula_sum 'Co9 Rh6'
_cell_length_a 2.6239
_cell_length_b 2.6239
_cell_length_c 31.3616
_cell_angle_alpha 90.00
_cell_angle_beta 90.00
_cell_angle_gamma 120.00
_symmetry_space_group_name_H-M 'R -3 m'
_symmetry_Int_Tables_number 166
_symmetry_space_group_name_Hall '-R 3 2"'
loop_
_atom_site_label
_atom_site_type_symbol
_atom_site_fract_x
_atom_site_fract_y
_atom_site_fract_z
Co1 Co 0.0000 0.0000 0.0000
Co2 Co 0.0000 0.0000 0.3958
Rh1 Rh 0.0000 0.0000 0.2033

***

<iv>
# PBE-GGA Co3Rh2, relaxed
# * total moment: 22.85 Bohr magnetons per cell
data_Co3Rh2
_chemical_formula_sum 'Co9 Rh6'
_cell_length_a 4.1616
_cell_length_b 4.1616
_cell_length_c 12.7113
_cell_angle_alpha 90.00
_cell_angle_beta 90.00
_cell_angle_gamma 120.00
_symmetry_space_group_name_H-M 'R -3 m'
_symmetry_Int_Tables_number 166
_symmetry_space_group_name_Hall '-R 3 2"'
loop_
_atom_site_label
_atom_site_type_symbol
_atom_site_fract_x
_atom_site_fract_y
_atom_site_fract_z
Co1 Co 0.0000 0.0000 0.0000
Co2 Co 0.0000 0.0000 0.1849
Rh1 Rh 0.0000 0.0000 0.3945

***

Quick one: least stable of them? <iv>

***

<i>
# PBE-GGA Co3Rh2, relaxed
# * total moment: 13.04 Bohr magnetons per cell
data_Co3Rh2
_chemical_formula_sum 'Co6 Rh4'
_cell_length_a 8.209
_cell_length_b 3.674
_cell_length_c 5.785
_cell_angle_alpha 90.00
_cell_angle_beta 134.26
_cell_angle_gamma 90.00
_symmetry_space_group_name_H-M 'C 1 2/m 1'
_symmetry_Int_Tables_number 12
loop_
_symmetry_equiv_pos_as_xyz
'x,y,z'
'-x,-y,-z'
'-x,y,-z'
'x,-y,z'
'x+1/2,y+1/2,z'
'-x+1/2,-y+1/2,-z'
'-x+1/2,y+1/2,-z'
'x+1/2,-y+1/2,z'
loop_
_atom_site_label
_atom_site_type_symbol
_atom_site_fract_x
_atom_site_fract_y
_atom_site_fract_z
Co1 Co 0.000 0.000 0.000
Co2 Co 0.201 0.000 0.593
Rh1 Rh 0.095 0.500 0.799

***

<ii>
# PBE-GGA Co3Rh2, relaxed
# * total moment: 27.71 Bohr magnetons per cell
data_Co3Rh2
_chemical_formula_sum 'Co12 Rh8'
_cell_length_a 2.719
_cell_length_b 4.414
_cell_length_c 21.361
_cell_angle_alpha 90.00
_cell_angle_beta 90.00
_cell_angle_gamma 90.00
_symmetry_space_group_name_H-M 'F m m m'
_symmetry_Int_Tables_number 69
_symmetry_space_group_name_Hall '-F 2 2'
loop_
_atom_site_label
_atom_site_type_symbol
_atom_site_fract_x
_atom_site_fract_y
_atom_site_fract_z
Co1 Co 0.000 0.000 0.000
Co2 Co 0.000 0.000 0.407
Rh1 Rh 0.000 0.000 0.194

***

Quick one: least stable of them? <ii>

***

<i>
# PBE-GGA Co2Rh3, relaxed
# * total moment: 9.74 Bohr magnetons per cell
data_Co2Rh3
_chemical_formula_sum 'Co4 Rh6'
_cell_length_a 3.968
_cell_length_b 12.459
_cell_length_c 2.653
_cell_angle_alpha 90.00
_cell_angle_beta 90.00
_cell_angle_gamma 90.00
_symmetry_space_group_name_H-M 'C m m m'
_symmetry_Int_Tables_number 65
_symmetry_space_group_name_Hall '-C 2 2'
loop_
_atom_site_label
_atom_site_type_symbol
_atom_site_fract_x
_atom_site_fract_y
_atom_site_fract_z
Co1 Co 0.000 0.203 0.000
Rh1 Rh 0.000 0.000 0.000
Rh2 Rh 0.000 0.387 0.500

***

<ii>
# PBE-GGA Co2Rh3, relaxed
# * total moment: 44.70 Bohr magnetons per cell
data_Co2Rh3
_chemical_formula_sum 'Co16 Rh24'
_cell_length_a 5.997
_cell_length_b 12.647
_cell_length_c 7.220
_cell_angle_alpha 90.00
_cell_angle_beta 90.00
_cell_angle_gamma 90.00
_symmetry_space_group_name_H-M 'F d d 2'
_symmetry_Int_Tables_number 43
_symmetry_space_group_name_Hall 'F 2 -2d'
loop_
_atom_site_label
_atom_site_type_symbol
_atom_site_fract_x
_atom_site_fract_y
_atom_site_fract_z
Co1 Co 0.079 0.306 0.000
Rh1 Rh 0.000 0.000 0.438
Rh2 Rh 0.074 0.094 0.093

***

Quick one: least stable of them? <ii>

***

<i>
# PBE-GGA Co2Rh3, relaxed
# * total moment: 12.93 Bohr magnetons per cell
data_Co2Rh3
_chemical_formula_sum 'Co6 Rh9'
_cell_length_a 2.6638
_cell_length_b 2.6638
_cell_length_c 32.0334
_cell_angle_alpha 90.00
_cell_angle_beta 90.00
_cell_angle_gamma 120.00
_symmetry_space_group_name_H-M 'R -3 m'
_symmetry_Int_Tables_number 166
_symmetry_space_group_name_Hall '-R 3 2"'
loop_
_atom_site_label
_atom_site_type_symbol
_atom_site_fract_x
_atom_site_fract_y
_atom_site_fract_z
Co1 Co 0.0000 0.0000 0.1007
Rh1 Rh 0.0000 0.0000 0.2976
Rh2 Rh 0.0000 0.0000 0.5000

***

<ii>
# PBE-GGA Co2Rh3, relaxed
# * total moment: 20.51 Bohr magnetons per cell
data_Co2Rh3
_chemical_formula_sum 'Co6 Rh9'
_cell_length_a 4.2545
_cell_length_b 4.2545
_cell_length_c 12.8545
_cell_angle_alpha 90.00
_cell_angle_beta 90.00
_cell_angle_gamma 120.00
_symmetry_space_group_name_H-M 'R -3 m'
_symmetry_Int_Tables_number 166
_symmetry_space_group_name_Hall '-R 3 2"'
loop_
_atom_site_label
_atom_site_type_symbol
_atom_site_fract_x
_atom_site_fract_y
_atom_site_fract_z
Co1 Co 0.0000 0.0000 0.0889
Rh1 Rh 0.0000 0.0000 0.2851
Rh2 Rh 0.0000 0.0000 0.5000

***

<iii>
# PBE-GGA Co2Rh3, relaxed
# * total moment: 8.87 Bohr magnetons per cell
data_Co2Rh3
_chemical_formula_sum 'Co4 Rh6'
_cell_length_a 8.808
_cell_length_b 2.684
_cell_length_c 6.464
_cell_angle_alpha 90.00
_cell_angle_beta 121.34
_cell_angle_gamma 90.00
_symmetry_space_group_name_H-M 'C 1 2/m 1'
_symmetry_Int_Tables_number 12
loop_
_symmetry_equiv_pos_as_xyz
'x,y,z'
'-x,-y,-z'
'-x,y,-z'
'x,-y,z'
'x+1/2,y+1/2,z'
'-x+1/2,-y+1/2,-z'
'-x+1/2,y+1/2,-z'
'x+1/2,-y+1/2,z'
loop_
_atom_site_label
_atom_site_type_symbol
_atom_site_fract_x
_atom_site_fract_y
_atom_site_fract_z
Co1 Co 0.108 0.000 0.404
Rh1 Rh 0.000 0.500 0.000
Rh2 Rh 0.191 0.500 0.784

***

<iv>
# PBE-GGA Co2Rh3, relaxed
# * total moment: 13.67 Bohr magnetons per cell
data_Co2Rh3
_chemical_formula_sum 'Co4 Rh6'
_cell_length_a 3.025
_cell_length_b 3.025
_cell_length_c 14.661
_cell_angle_alpha 90.00
_cell_angle_beta 90.00
_cell_angle_gamma 90.00
_symmetry_space_group_name_H-M 'I 4/m m m'
_symmetry_Int_Tables_number 139
_symmetry_space_group_name_Hall '-I 4 2'
loop_
_atom_site_label
_atom_site_type_symbol
_atom_site_fract_x
_atom_site_fract_y
_atom_site_fract_z
Co1 Co 0.000 0.000 0.096
Rh1 Rh 0.000 0.000 0.309
Rh2 Rh 0.000 0.000 0.500

***

Quick one: least stable of them? <iv>